# 1
Below is a geometry-optimized Li3TlIn structure, with properties calculated at the GGA-PBE level.

Cell lengths 8.264, 11.950, 4.919 Å; angles 90.00, 90.00, 90.00 degrees
Space group Cmcm (No. 63)
Asymmetric unit:
1 Li 0.000 0.000 0.000 x4
2 Li 0.166 0.323 0.250 x8
3 Tl 0.000 0.199 0.750 x4
4 In 0.000 0.436 0.750 x4

Mass density: 4.65 g/cm³


# 2
Below is a geometry-optimized Li2TlIn9 structure, with properties calculated at the GGA-PBE level.

Cell lengths 4.632, 4.632, 14.175 Å; angles 90.00, 90.00, 90.00 degrees
Space group P4/mmm (No. 123)
Asymmetric unit:
1 Li 0.000 0.000 0.153 x2
2 Tl 0.000 0.000 0.500 x1
3 In 0.000 0.500 0.000 x2
4 In 0.000 0.500 0.316 x4
5 In 0.500 0.500 0.156 x2
6 In 0.500 0.500 0.500 x1

Mass density: 6.83 g/cm³


Calculated calculated formation energy (eV per atom), listed in the same order as above: -0.009 -0.072